CuNiOs | PBE | relaxed

Structure (POSCAR):
```
CuNiOs
1.0
2.240 -3.896 0.000
2.240 3.896 0.000
-1.456 0.000 4.288
Cu Ni Os
2 2 2
Direct
0.165 0.835 0.000
0.835 0.165 0.000
0.000 0.000 0.500
0.500 0.500 0.000
0.335 0.665 0.500
0.665 0.335 0.500
```

## Properties
total magnetization = 0.00 Bohr magnetons per cell
electronic total energy = -6.885 eV/atom